A plane-wave DFT calculation with PBE-GGA was carried out for a geometry-optimized BC2 structure.

Cell lengths 5.6553, 5.8439, 3.8981 Å; angles 90.59, 89.79, 143.80 degrees
Atoms (fractional coordinates):
1 C 0.4949 0.9947 0.2430
2 C 0.9983 0.0006 0.9772
3 C 0.6566 0.3102 0.9942
4 C 0.8384 0.1720 0.5070
5 C 0.9925 0.4875 0.7617
6 C 0.6768 0.8565 0.7558
7 C 0.3409 0.6792 0.9883
8 C 0.3351 0.1661 0.7728
9 B 0.7954 0.6511 0.2008
10 B 0.5379 0.5156 0.5493
11 B 0.1840 0.3483 0.2321
12 B 0.1493 0.8184 0.5179

Output
- M_tot: 0.0 μB/f.u.
- Energy above the most stable polymorph in this dataset: 111 meV/atom
- N(E_F): 2.16 states/eV per cell
- Energy relative to the elements: 350 meV per atom


A plane-wave DFT calculation with PBE-GGA was carried out for a geometry-optimized MnZnRe3 structure.

Cell lengths 4.4140, 4.4140, 4.4140 Å; angles 90.00, 90.00, 90.00 degrees
Atoms (fractional coordinates):
1 Re 0.5000 0.0000 0.0000
2 Re 0.0000 0.5000 0.0000
3 Re 0.0000 0.0000 0.5000
4 Mn 0.5000 0.5000 0.5000
5 Zn 0.0000 0.0000 0.0000

Output
- M_tot: 0.0 μB/f.u.
- Energy above the most stable polymorph in this dataset: 776 meV/atom
- N(E_F): 6.54 states/eV per cell
- Energy relative to the elements: 2328 meV per atom


A plane-wave DFT calculation with PBE-GGA was carried out for a geometry-optimized CaLa3Te4 structure.

Cell lengths 4.5226, 4.5226, 30.6767 Å; angles 90.00, 90.00, 120.00 degrees
Atoms (fractional coordinates):
1 Te 0.0000 0.0000 0.3127
2 Te 0.0000 0.0000 0.8127
3 Te 0.6667 0.3333 0.9380
4 Te 0.6667 0.3333 0.5620
5 Te 0.3333 0.6667 0.4380
6 Te 0.0000 0.0000 0.1873
7 Te 0.0000 0.0000 0.6873
8 Te 0.3333 0.6667 0.0620
9 La 0.0000 0.0000 0.0000
10 La 0.3333 0.6667 0.8771
11 La 0.0000 0.0000 0.5000
12 La 0.3333 0.6667 0.6229
13 La 0.6667 0.3333 0.3771
14 La 0.6667 0.3333 0.1229
15 Ca 0.3333 0.6667 0.2500
16 Ca 0.6667 0.3333 0.7500

Output
- Uncorrected formation energy: -12.52 eV per formula unit
- M_tot: 0.0 μB/f.u.
- Energy above the most stable polymorph in this dataset: 22 meV/atom
- N(E_F): 10.03 states/eV per cell